ZrIn | PBE | optimized geometry

Properties
Energy in Ha/atom: -0.21362
Formation enthalpy at 0 K in eV/atom: -0.170

```
8
Lattice="0.0000 6.1256 9.6353 1.5449 0.0000 9.6353 1.5449 6.1256 0.0000" Properties=species:S:1:pos:R:3 pbc="T T T"
Zr 0.3862 1.5314 0.1367
Zr 0.3862 1.5314 4.6810
Zr 2.7036 10.7197 14.5897
Zr 2.7036 10.7197 19.1340
In 1.1587 3.0313 7.2265
In 1.9311 6.0941 12.0442
In 1.1587 6.1570 7.2265
In 1.9311 9.2198 12.0442
```